(1)
# Na2Sr2Au (PBE, relaxed)
data_Na2Sr2Au
_chemical_formula_sum 'Na4 Sr4 Au2'
_cell_length_a 5.5560
_cell_length_b 5.6936
_cell_length_c 11.2663
_cell_angle_alpha 90.00
_cell_angle_beta 90.00
_cell_angle_gamma 90.00
_symmetry_space_group_name_H-M 'I m m m'
_symmetry_Int_Tables_number 71
_symmetry_space_group_name_Hall '-I 2 2'
loop_
_atom_site_label
_atom_site_fract_x
_atom_site_fract_y
_atom_site_fract_z
Na1 0.2409 0.0000 0.0000
Sr1 0.0000 0.0000 0.3230
Au1 0.0000 0.5000 0.0000
# Formation energy (eV per atom): -0.14
# Energy relative to the lowest polymorph listed for this composition (meV/atom): 37.0
# Electronic total energy (eV per cell): -20.0
# Volume (Å³/cell): 356
# M_tot (μB/f.u.): 0.000

---

(2)
# KCuN (PBE, relaxed)
data_KCuN
_chemical_formula_sum 'K1 Cu1 N1'
_cell_length_a 3.3670
_cell_length_b 3.3670
_cell_length_c 4.8571
_cell_angle_alpha 90.00
_cell_angle_beta 90.00
_cell_angle_gamma 120.00
_symmetry_space_group_name_H-M 'P -6 m 2'
_symmetry_Int_Tables_number 187
_symmetry_space_group_name_Hall 'P -6 2'
loop_
_atom_site_label
_atom_site_fract_x
_atom_site_fract_y
_atom_site_fract_z
K1 0.0000 0.0000 0.0000
Cu1 0.6667 0.3333 0.5000
N1 0.3333 0.6667 0.5000
# Energy relative to the lowest polymorph listed for this composition (meV/atom): 111.3
# Electronic total energy (eV per cell): -12.4
# Volume (Å³/cell): 48
# M_tot (μB/f.u.): 0.000
# Formation energy without anion corrections (meV/atom): 376.1

---

(3)
# LaCe2SmSb4 (PBE, relaxed)
data_LaCe2SmSb4
_chemical_formula_sum 'La1 Ce2 Sm1 Sb4'
_cell_length_a 7.8313
_cell_length_b 4.5268
_cell_length_c 7.8499
_cell_angle_alpha 90.00
_cell_angle_beta 109.48
_cell_angle_gamma 90.00
_symmetry_space_group_name_H-M 'P 1 2/m 1'
_symmetry_Int_Tables_number 10
_symmetry_space_group_name_Hall '-P 2y'
loop_
_atom_site_label
_atom_site_fract_x
_atom_site_fract_y
_atom_site_fract_z
La1 0.0000 0.0000 0.0000
Ce1 0.0000 0.5000 0.5000
Ce2 0.5000 0.0000 0.5000
Sm1 0.5000 0.5000 0.0000
Sb1 0.2531 0.0000 0.7477
Sb2 0.2557 0.5000 0.2552
# Electronic total energy (eV per cell): -47.1
# Volume (Å³/cell): 262
# M_tot (μB/f.u.): 1.545
# Formation energy without anion corrections (meV/atom): -1134.5

---

(4)
# SrUSn2 (PBE, relaxed)
data_SrUSn2
_chemical_formula_sum 'Sr1 U1 Sn2'
_cell_length_a 3.4827
_cell_length_b 3.4827
_cell_length_c 9.3545
_cell_angle_alpha 90.00
_cell_angle_beta 90.00
_cell_angle_gamma 90.00
_symmetry_space_group_name_H-M 'P 4/m m m'
_symmetry_Int_Tables_number 123
_symmetry_space_group_name_Hall '-P 4 2'
loop_
_atom_site_label
_atom_site_fract_x
_atom_site_fract_y
_atom_site_fract_z
Sr1 0.0000 0.0000 0.0000
U1 0.0000 0.0000 0.5000
Sn1 0.5000 0.5000 0.2627
# Formation energy (eV per atom): -0.23
# Electronic total energy (eV per cell): -21.9
# Volume (Å³/cell): 113
# M_tot (μB/f.u.): 3.303